Material: LiMo2P2O11
Method: DFT, PBE+U
State: relaxed

Properties
- space-group type = No. 11
- VASP energy (eV/atom) = -7.037

Cell: 12.902 7.929 8.675 Å, 72.25 90.00 90.00°
Positions (direct):
Li1 0.750 0.847 0.460
Li2 0.000 0.500 0.000
Li3 0.500 0.500 0.000
Li4 0.250 0.153 0.540
Mo1 0.250 0.734 0.809
Mo2 0.750 0.691 0.848
Mo3 0.499 0.731 0.348
Mo4 0.001 0.731 0.348
Mo5 0.999 0.269 0.652
Mo6 0.501 0.269 0.652
Mo7 0.250 0.309 0.152
Mo8 0.750 0.266 0.191
P1 0.008 0.186 0.264
P2 0.492 0.186 0.264
P3 0.750 0.140 0.600
P4 0.250 0.321 0.755
P5 0.750 0.679 0.245
P6 0.250 0.860 0.400
P7 0.508 0.814 0.736
P8 0.992 0.814 0.736
O1 0.346 0.750 0.390
O2 0.250 0.039 0.265
O3 0.750 0.100 0.433
O4 0.501 0.001 0.754
O5 0.999 0.001 0.754
O6 0.032 0.186 0.436
O7 0.468 0.186 0.436
O8 0.406 0.292 0.143
O9 0.250 0.903 0.891
O10 0.750 0.961 0.735
O11 0.250 0.900 0.567
O12 0.499 0.999 0.246
O13 0.001 0.999 0.246
O14 0.968 0.814 0.564
O15 0.532 0.814 0.564
O16 0.906 0.708 0.857
O17 0.594 0.708 0.857
O18 0.410 0.704 0.810
O19 0.090 0.704 0.810
O20 0.750 0.097 0.109
O21 0.154 0.750 0.390
O22 0.843 0.747 0.326
O23 0.657 0.747 0.326
O24 0.750 0.655 0.660
O25 0.750 0.763 0.061
O26 0.750 0.464 0.976
O27 0.250 0.523 0.708
O28 0.484 0.668 0.176
O29 0.016 0.668 0.176
O30 0.000 0.500 0.500
O31 0.500 0.500 0.500
O32 0.984 0.332 0.824
O33 0.516 0.332 0.824
O34 0.750 0.477 0.292
O35 0.250 0.536 0.024
O36 0.250 0.237 0.939
O37 0.250 0.345 0.340
O38 0.343 0.253 0.674
O39 0.157 0.253 0.674
O40 0.846 0.250 0.610
O41 0.654 0.250 0.610
O42 0.910 0.296 0.190
O43 0.590 0.296 0.190
O44 0.094 0.292 0.143